This record from Alexandria describes a relaxed ZnOsPb2 crystal. The functional is PBE-GGA.

VASP energy (eV for the cell shown): -16.83
E_form (kJ/mol of formula units): 298
Space group: Cmmm (65)

Lattice parameters (Å, degrees): 4.9736 4.9736 3.3856 90.00 90.00 90.07
Fractional coordinates of all 4 atoms:
Os  0.0000  0.5000  0.5000
Pb  0.0000  0.0000  0.0000
Pb  0.5000  0.5000  0.0000
Zn  0.5000  0.0000  0.5000